The following is a PBE-GGA calculation of a geometry-optimized Hf6Pd3S structure, from Alexandria.

POSCAR file:
```
Hf6Pd3S
1.0
5.9546 0.0000 0.1277
0.0000 7.2296 0.0000
0.2830 0.0000 9.2541
Hf Pd S
12 6 2
Direct
0.1239 0.3155 0.0639
0.3761 0.8155 0.4361
0.6446 0.1568 0.9349
0.1767 0.0467 0.7540
0.1446 0.3432 0.4349
0.8233 0.9533 0.2460
0.6767 0.4533 0.2540
0.6239 0.1845 0.5639
0.8554 0.6568 0.5651
0.3554 0.8432 0.0651
0.3233 0.5467 0.7460
0.8761 0.6845 0.9361
0.5869 0.8752 0.7395
0.5000 0.5000 0.0000
0.0000 0.0000 0.5000
0.0869 0.6248 0.2395
0.4131 0.1248 0.2605
0.9131 0.3752 0.7605
0.0000 0.0000 0.0000
0.5000 0.5000 0.5000
```

## Properties
M_tot ... 0.00 μB/cell
DOS(E_F) ... 18.68 states/eV/cell
V ... 398.12 Å³/cell
Crystal system ... monoclinic
Uncorrected formation energy ... -0.55 eV per atom